An optimized crystal structure of PrTlCoO3. Source: OQMD, functional PBE+U.

Symmetry   Cmcm
Mass density   7.39 Mg/m³
Total energy   -6.201 eV per atom

a b c (Å): 5.9603 5.9603 9.7151
angles (deg): 90.00 90.00 143.94
Closest atoms and distances in Å follow each position.
Fractional coordinates of all 12 atoms:
Pr (0.0000, 0.0000, 0.0000)  6 O 2.39-2.45
Pr (0.0000, 0.0000, 0.5000)  6 O 2.39-2.45
Tl (0.2795, 0.7205, 0.7500)  6 O 2.84-3.14, 2 Co 3.06
Tl (0.7205, 0.2795, 0.2500)  6 O 2.84-3.14, 2 Co 3.06
Co (0.4363, 0.5637, 0.2500)  4 O 1.91-2.13
Co (0.5637, 0.4363, 0.7500)  4 O 1.91-2.13
O (0.0299, 0.9701, 0.2500)  2 Co 2.13
O (0.3787, 0.6213, 0.0652)  1 Co 1.91
O (0.3787, 0.6213, 0.4348)  1 Co 1.91
O (0.6213, 0.3787, 0.5652)  1 Co 1.91
O (0.6213, 0.3787, 0.9348)  1 Co 1.91
O (0.9701, 0.0299, 0.7500)  2 Co 2.13